This record from Alexandria via LeMat-Bulk describes an optimized crystal structure of CaTlTeBr. The functional is GGA-PBE.

Formation energy (no corrections) (meV/atom): -1275
Calculated density (g/cm³): 5.105
Symmetry: R3m, No. 160
Electronic total energy (eV per atom): -3.5706

a b c (Å): 8.8509 8.8509 8.8509
angles (deg): 29.31 29.31 29.31
Fractional coordinates of all 4 atoms:
Ca 0.0000 0.0000 0.0000
Tl 0.8153 0.8153 0.8153
Te 0.4040 0.4040 0.4040
Br 0.6052 0.6052 0.6052